[1]
A plane-wave DFT calculation with PBE-GGA was carried out for crystalline La2OsRh at its relaxed geometry. Values from VASP.

```
&SYSTEM
  ibrav = 0, nat = 4, ntyp = 3
/
ATOMIC_SPECIES
La 138.91 La.upf
Os 190.23 Os.upf
Rh 102.91 Rh.upf
CELL_PARAMETERS angstrom
0.000 3.481 3.481
3.481 0.000 3.481
3.481 3.481 0.000
ATOMIC_POSITIONS crystal
La 0.000 0.000 0.000
La 0.250 0.250 0.250
Os 0.500 0.500 0.500
Rh 0.750 0.750 0.750
```

Properties
Magnetization in μB per formula unit: 0.614
ΔE_f in eV/atom: 0.087
Offset from the most stable computed form in meV/atom: 328
DOS(E_F) in states/eV/cell: 7.393

[2]
A plane-wave DFT calculation with PBE-GGA was carried out for crystalline SrMgAu10 at its relaxed geometry. Values from VASP.

```
&SYSTEM
  ibrav = 0, nat = 12, ntyp = 3
/
ATOMIC_SPECIES
Sr 87.62 Sr.upf
Mg 24.30 Mg.upf
Au 196.97 Au.upf
CELL_PARAMETERS angstrom
-3.694 2.681 1.238
-3.086 -2.407 -3.995
-2.828 -6.797 6.280
ATOMIC_POSITIONS crystal
Sr 0.000 0.500 0.500
Mg 0.000 0.000 0.000
Au 0.000 0.000 0.304
Au 0.000 0.500 0.845
Au 0.000 0.500 0.155
Au 0.000 0.000 0.696
Au 0.500 0.000 0.500
Au 0.500 0.500 0.000
Au 0.500 0.253 0.253
Au 0.500 0.747 0.747
Au 0.500 0.747 0.253
Au 0.500 0.253 0.747
```

Properties
Magnetization in μB per formula unit: 0.000
ΔE_f in eV/atom: -0.288
DOS(E_F) in states/eV/cell: 2.722

[3]
A plane-wave DFT calculation with PBE-GGA was carried out for crystalline SrInBiBr6 at its relaxed geometry. Values from VASP.

```
&SYSTEM
  ibrav = 0, nat = 18, ntyp = 4
/
ATOMIC_SPECIES
Sr 87.62 Sr.upf
In 114.82 In.upf
Bi 208.98 Bi.upf
Br 79.90 Br.upf
CELL_PARAMETERS angstrom
-7.486 1.458 1.166
3.329 -6.059 3.425
3.323 8.134 11.159
ATOMIC_POSITIONS crystal
Sr 0.333 0.667 0.250
Sr 0.667 0.333 0.750
In 0.000 0.000 0.000
In 0.000 0.000 0.500
Bi 0.667 0.333 0.250
Bi 0.333 0.667 0.750
Br 0.649 0.631 0.132
Br 0.982 0.351 0.132
Br 0.351 0.982 0.632
Br 0.018 0.649 0.868
Br 0.369 0.351 0.368
Br 0.982 0.631 0.368
Br 0.631 0.982 0.868
Br 0.649 0.018 0.368
Br 0.018 0.369 0.632
Br 0.369 0.018 0.132
Br 0.631 0.649 0.632
Br 0.351 0.369 0.868
```

Properties
Magnetization in μB per formula unit: 0.000
DOS(E_F) in states/eV/cell: 0.000
E_form (uncorrected) in eV per atom: -1.19

[4]
A plane-wave DFT calculation with PBE-GGA was carried out for crystalline Pr3Ag2Os at its relaxed geometry. Values from VASP.

```
&SYSTEM
  ibrav = 0, nat = 12, ntyp = 3
/
ATOMIC_SPECIES
Pr 140.91 Pr.upf
Ag 107.87 Ag.upf
Os 190.23 Os.upf
CELL_PARAMETERS angstrom
-1.241 4.963 0.810
-2.555 3.208 -7.005
-7.189 -2.068 1.675
ATOMIC_POSITIONS crystal
Pr 0.826 0.347 0.774
Pr 0.500 0.000 0.231
Pr 0.174 0.653 0.226
Pr 0.827 0.347 0.226
Pr 0.173 0.653 0.774
Pr 0.500 0.000 0.769
Ag 0.000 0.000 0.000
Ag 0.000 0.000 0.500
Ag 0.335 0.330 0.500
Ag 0.665 0.670 0.500
Os 0.337 0.326 0.000
Os 0.663 0.674 0.000
```

Properties
Magnetization in μB per formula unit: 0.000
ΔE_f in eV/atom: -0.150
DOS(E_F) in states/eV/cell: 8.696